## w
The following is a PBE calculation of crystalline Sm2Cl at its relaxed geometry, from the Open Quantum Materials Database.

The space group is Fd-3m (No. 227, origin choice 2) and the conventional cell measures 9.2620, 9.2620 and 9.2620 Å, with angles of 90.00, 90.00 and 90.00 degrees. The inequivalent atoms are Sm at (0.0000, 0.0000, 0.0000) and Cl at (0.1250, 0.1250, 0.6250).

The calculation puts the volume at 795 Å³/cell. The value obtained for the spin magnetization is 0.78 μB/f.u.

## x
The following is a PBE calculation of crystalline Sm2Cl at its relaxed geometry, from the Open Quantum Materials Database.

The space group is C2/m (No. 12) and the conventional cell measures 6.3228, 3.6482 and 7.6219 Å, with angles of 90.00, 106.19 and 90.00 degrees. The inequivalent atoms are Sm at (0.2315, 0.0000, 0.1946) and Cl at (0.0000, 0.0000, 0.5000).

The calculation puts the volume at 169 Å³/cell. The value obtained for the spin magnetization is 0.01 μB/f.u.

Stability check: which of them is most stable? x.